Record 1
Compound: NdYGa
Source: OQMD
Functional: PBE
Structure: relaxed

Cell: 5.041 5.041 5.041 Å, 60.00 60.00 60.00°
Sites, in units of the cell vectors:
Ga 0.000 0.000 0.000
Nd 0.250 0.250 0.250
Y 0.750 0.750 0.750

## Properties
M_tot = 0.1 μB per cell
E above lowest polymorph = 0.0 kJ per mole of atoms
crystal system = cubic
space group = F-43m, No. 216
E_tot = -5.005 eV/atom


Record 2
Compound: NdZn2Ga2
Source: OQMD
Functional: PBE
Structure: relaxed

Cell: 6.141 6.141 6.141 Å, 139.66 139.66 58.38°
Sites, in units of the cell vectors:
Ga 0.384 0.384 0.000
Ga 0.616 0.616 0.000
Nd 0.000 0.000 0.000
Zn 0.750 0.250 0.500
Zn 0.250 0.750 0.500

## Properties
M_tot = 0.0 μB per cell
crystal system = tetragonal
space group = I4/mmm, No. 139
E_tot = -3.167 eV/atom


Record 3
Compound: Nd2ZrGa2
Source: OQMD
Functional: PBE
Structure: relaxed

Cell: 7.511 7.511 4.480 Å, 90.00 90.00 90.00°
Sites, in units of the cell vectors:
Ga 0.626 0.126 0.000
Ga 0.126 0.374 0.000
Ga 0.874 0.626 0.000
Ga 0.374 0.874 0.000
Nd 0.326 0.174 0.500
Nd 0.826 0.326 0.500
Nd 0.174 0.674 0.500
Nd 0.674 0.826 0.500
Zr 0.000 0.000 0.000
Zr 0.500 0.500 0.000

## Properties
M_tot = 0.0 μB per cell
crystal system = tetragonal
space group = P4/mbm, No. 127
E_tot = -5.236 eV/atom


Record 4
Compound: GaNi17
Source: OQMD
Functional: PBE
Structure: relaxed

Cell: 4.949 4.949 31.258 Å, 90.00 90.00 120.00°
Sites, in units of the cell vectors:
Ga 0.667 0.333 0.237
Ga 0.333 0.667 0.763
Ni 0.166 0.333 0.240
Ni 0.166 0.834 0.240
Ni 0.667 0.834 0.240
Ni 0.000 0.000 0.305
Ni 0.002 0.501 0.305
Ni 0.499 0.501 0.305
Ni 0.499 0.998 0.305
Ni 0.334 0.167 0.370
Ni 0.833 0.167 0.370
Ni 0.833 0.666 0.370
Ni 0.333 0.667 0.370
Ni 0.667 0.333 0.435
Ni 0.167 0.333 0.435
Ni 0.167 0.833 0.435
Ni 0.667 0.833 0.435
Ni 0.000 0.000 0.500
Ni 0.500 0.000 0.500
Ni 0.000 0.500 0.500
Ni 0.500 0.500 0.500
Ni 0.333 0.167 0.565
Ni 0.833 0.167 0.565
Ni 0.833 0.667 0.565
Ni 0.333 0.667 0.565
Ni 0.667 0.333 0.630
Ni 0.167 0.334 0.630
Ni 0.167 0.833 0.630
Ni 0.666 0.833 0.630
Ni 0.501 0.002 0.695
Ni 0.501 0.499 0.695
Ni 0.998 0.499 0.695
Ni 0.000 0.000 0.695
Ni 0.333 0.166 0.760
Ni 0.834 0.166 0.760
Ni 0.834 0.667 0.760

## Properties
M_tot = 19.1 μB per cell
E above lowest polymorph = 0.0 kJ per mole of atoms
crystal system = trigonal
space group = P-3m1, No. 164
E_tot = -5.373 eV/atom


Record 5
Compound: GaNi9
Source: OQMD
Functional: PBE
Structure: relaxed

Cell: 2.496 3.488 38.612 Å, 90.00 90.00 90.00°
Sites, in units of the cell vectors:
Ga 0.000 0.000 0.194
Ga 0.500 0.500 0.806
Ni 0.500 0.500 0.226
Ni 0.000 0.000 0.260
Ni 0.500 0.500 0.291
Ni 0.000 0.000 0.323
Ni 0.500 0.500 0.356
Ni 0.000 0.000 0.388
Ni 0.500 0.500 0.419
Ni 0.000 0.000 0.452
Ni 0.500 0.500 0.484
Ni 0.000 0.000 0.516
Ni 0.500 0.500 0.548
Ni 0.000 0.000 0.581
Ni 0.500 0.500 0.612
Ni 0.000 0.000 0.644
Ni 0.500 0.500 0.677
Ni 0.000 0.000 0.709
Ni 0.500 0.500 0.740
Ni 0.000 0.000 0.774

## Properties
M_tot = 9.6 μB per cell
E above lowest polymorph = 0.0 kJ per mole of atoms
crystal system = orthorhombic
space group = Pmmn, No. 59
E_tot = -5.319 eV/atom


Record 6
Compound: Ga7Ni3
Source: OQMD
Functional: PBE
Structure: relaxed

Cell: 7.319 7.319 7.319 Å, 109.47 109.47 109.47°
Sites, in units of the cell vectors:
Ga 0.323 0.000 0.000
Ga 0.677 0.000 0.000
Ga 0.000 0.323 0.000
Ga 0.000 0.677 0.000
Ga 0.750 0.500 0.250
Ga 0.500 0.750 0.250
Ga 0.000 0.000 0.323
Ga 0.323 0.323 0.323
Ga 0.750 0.250 0.500
Ga 0.250 0.750 0.500
Ga 0.000 0.000 0.677
Ga 0.677 0.677 0.677
Ga 0.500 0.250 0.750
Ga 0.250 0.500 0.750
Ni 0.350 0.350 0.000
Ni 0.650 0.650 0.000
Ni 0.350 0.000 0.350
Ni 0.000 0.350 0.350
Ni 0.650 0.000 0.650
Ni 0.000 0.650 0.650

## Properties
M_tot = 0.0 μB per cell
crystal system = cubic
space group = Im-3m, No. 229
E_tot = -4.123 eV/atom